# 1
Below is a crystal of Be2AlRe relaxed with PBEsol, with properties calculated at the SCAN level.

CIF file:
```
data_Be2AlRe
_cell_length_a 3.0229
_cell_length_b 3.0229
_cell_length_c 5.1590
_cell_angle_alpha 90.00
_cell_angle_beta 90.00
_cell_angle_gamma 90.00
_symmetry_space_group_name_H-M 'P 1'
_symmetry_Int_Tables_number 1
_symmetry_space_group_name_Hall 'P 1'
loop_
_atom_site_label
_atom_site_fract_x
_atom_site_fract_y
_atom_site_fract_z
_atom_site_occupancy
Be1 0.0000 0.0000 0.0000 1
Be2 0.5000 0.5000 0.2301 1
Al1 0.5000 0.5000 0.7317 1
Re1 0.0000 0.0000 0.4572 1
```

Summary:
- Energy of formation from the pure elements: 55 meV per atom
- Symmetry: P4mm (99)
- V: 47 Å³/f.u.
- Energy: -21.835 eV per atom


# 2
Below is a crystal of KHo2CuS4 relaxed with PBEsol, with properties calculated at the SCAN level.

CIF file:
```
data_KHo2CuS4
_cell_length_a 6.9099
_cell_length_b 6.9099
_cell_length_c 13.4611
_cell_angle_alpha 90.00
_cell_angle_beta 90.00
_cell_angle_gamma 147.42
_symmetry_space_group_name_H-M 'P 1'
_symmetry_Int_Tables_number 1
_symmetry_space_group_name_Hall 'P 1'
loop_
_atom_site_label
_atom_site_fract_x
_atom_site_fract_y
_atom_site_fract_z
_atom_site_occupancy
K1 0.1094 0.8906 0.7500 1
K2 0.8906 0.1094 0.2500 1
Ho1 0.3657 0.6343 0.5631 1
Ho2 0.3657 0.6343 0.9369 1
Ho3 0.6343 0.3657 0.0631 1
Ho4 0.6343 0.3657 0.4369 1
Cu1 0.1626 0.8374 0.2500 1
Cu2 0.8374 0.1626 0.7500 1
S1 0.0000 0.0000 0.0000 1
S2 0.0000 0.0000 0.5000 1
S3 0.2639 0.7361 0.1116 1
S4 0.2639 0.7361 0.3884 1
S5 0.4323 0.5677 0.7500 1
S6 0.5677 0.4323 0.2500 1
S7 0.7361 0.2639 0.6116 1
S8 0.7361 0.2639 0.8884 1
```

Summary:
- Symmetry: Cmcm (63)
- V: 173 Å³/f.u.
- Energy: -21.901 eV per atom


# 3
Below is a crystal of MgTcSb2I relaxed with PBEsol, with properties calculated at the SCAN level.

CIF file:
```
data_MgTcSb2I
_cell_length_a 5.0138
_cell_length_b 5.0138
_cell_length_c 5.8189
_cell_angle_alpha 90.00
_cell_angle_beta 90.00
_cell_angle_gamma 90.00
_symmetry_space_group_name_H-M 'P 1'
_symmetry_Int_Tables_number 1
_symmetry_space_group_name_Hall 'P 1'
loop_
_atom_site_label
_atom_site_fract_x
_atom_site_fract_y
_atom_site_fract_z
_atom_site_occupancy
Mg1 0.0000 0.0000 0.0000 1
Tc1 0.5000 0.5000 0.5000 1
Sb1 0.0000 0.5000 0.5000 1
Sb2 0.5000 0.0000 0.5000 1
I1 0.5000 0.5000 0.0000 1
```

Summary:
- Symmetry: P4/mmm (123)
- V: 146 Å³/f.u.
- Energy: -29.831 eV per atom


# 4
Below is a crystal of AgMo2W relaxed with PBEsol, with properties calculated at the SCAN level.

CIF file:
```
data_AgMo2W
_cell_length_a 2.6521
_cell_length_b 4.3662
_cell_length_c 5.5598
_cell_angle_alpha 90.00
_cell_angle_beta 102.06
_cell_angle_gamma 90.00
_symmetry_space_group_name_H-M 'P 1'
_symmetry_Int_Tables_number 1
_symmetry_space_group_name_Hall 'P 1'
loop_
_atom_site_label
_atom_site_fract_x
_atom_site_fract_y
_atom_site_fract_z
_atom_site_occupancy
Ag1 0.0000 0.0000 0.0000 1
Mo1 0.4589 0.5000 0.7364 1
Mo2 0.5411 0.5000 0.2636 1
W1 0.0000 0.0000 0.5000 1
```

Summary:
- Energy of formation from the pure elements: 417 meV per atom
- Symmetry: P2/m (10)
- V: 63 Å³/f.u.
- Energy above the lowest structure with this stoichiometry: 0 meV/atom
- Energy: -42.289 eV per atom


# 5
Below is a crystal of SnP2O7 relaxed with PBEsol, with properties calculated at the SCAN level.

CIF file:
```
data_SnP2O7
_cell_length_a 8.2920
_cell_length_b 8.2920
_cell_length_c 8.2920
_cell_angle_alpha 90.00
_cell_angle_beta 90.00
_cell_angle_gamma 90.00
_symmetry_space_group_name_H-M 'P 1'
_symmetry_Int_Tables_number 1
_symmetry_space_group_name_Hall 'P 1'
loop_
_atom_site_label
_atom_site_fract_x
_atom_site_fract_y
_atom_site_fract_z
_atom_site_occupancy
Sn1 0.0000 0.0000 0.0000 1
Sn2 0.0000 0.5000 0.5000 1
Sn3 0.5000 0.0000 0.5000 1
Sn4 0.5000 0.5000 0.0000 1
P1 0.1103 0.6103 0.8897 1
P2 0.1103 0.8897 0.3897 1
P3 0.3897 0.1103 0.8897 1
P4 0.3897 0.3897 0.3897 1
P5 0.6103 0.6103 0.6103 1
P6 0.6103 0.8897 0.1103 1
P7 0.8897 0.1103 0.6103 1
P8 0.8897 0.3897 0.1103 1
O1 0.0000 0.0000 0.5000 1
O2 0.0000 0.5000 0.0000 1
O3 0.0522 0.7177 0.4058 1
O4 0.0522 0.7823 0.9058 1
O5 0.0942 0.5522 0.7177 1
O6 0.0942 0.9478 0.2177 1
O7 0.2177 0.0942 0.9478 1
O8 0.2177 0.4058 0.4478 1
O9 0.2823 0.5942 0.9478 1
O10 0.2823 0.9058 0.4478 1
O11 0.4058 0.0522 0.7177 1
O12 0.4058 0.4478 0.2177 1
O13 0.4478 0.2177 0.4058 1
O14 0.4478 0.2823 0.9058 1
O15 0.5000 0.0000 0.0000 1
O16 0.5000 0.5000 0.5000 1
O17 0.5522 0.7177 0.0942 1
O18 0.5522 0.7823 0.5942 1
O19 0.5942 0.5522 0.7823 1
O20 0.5942 0.9478 0.2823 1
O21 0.7177 0.0942 0.5522 1
O22 0.7177 0.4058 0.0522 1
O23 0.7823 0.5942 0.5522 1
O24 0.7823 0.9058 0.0522 1
O25 0.9058 0.0522 0.7823 1
O26 0.9058 0.4478 0.2823 1
O27 0.9478 0.2177 0.0942 1
O28 0.9478 0.2823 0.5942 1
```

Summary:
- Symmetry: Pa-3 (205)
- V: 143 Å³/f.u.
- Energy above the lowest structure with this stoichiometry: 46 meV/atom
- Energy: -12.261 eV per atom


# 6
Below is a crystal of LaPS4 relaxed with PBEsol, with properties calculated at the SCAN level.

CIF file:
```
data_LaPS4
_cell_length_a 12.3417
_cell_length_b 12.3417
_cell_length_c 12.3417
_cell_angle_alpha 127.38
_cell_angle_beta 127.38
_cell_angle_gamma 77.64
_symmetry_space_group_name_H-M 'P 1'
_symmetry_Int_Tables_number 1
_symmetry_space_group_name_Hall 'P 1'
loop_
_atom_site_label
_atom_site_fract_x
_atom_site_fract_y
_atom_site_fract_z
_atom_site_occupancy
La1 0.1250 0.3750 0.7500 1
La2 0.1250 0.8750 0.2500 1
La3 0.3750 0.1250 0.2500 1
La4 0.3750 0.6250 0.7500 1
La5 0.6250 0.3750 0.2500 1
La6 0.6250 0.8750 0.7500 1
La7 0.8750 0.1250 0.7500 1
La8 0.8750 0.6250 0.2500 1
P1 0.2133 0.2500 0.4633 1
P2 0.2500 0.2867 0.0367 1
P3 0.2500 0.7867 0.5367 1
P4 0.2867 0.7500 0.0367 1
P5 0.7133 0.2500 0.9633 1
P6 0.7500 0.2133 0.4633 1
P7 0.7500 0.7133 0.9633 1
P8 0.7867 0.7500 0.5367 1
S1 0.0921 0.8873 0.4820 1
S2 0.0930 0.6639 0.9314 1
S3 0.0948 0.3899 0.9820 1
S4 0.1101 0.4052 0.5180 1
S5 0.1127 0.0948 0.2048 1
S6 0.1616 0.0930 0.9291 1
S7 0.1639 0.5930 0.4314 1
S8 0.2326 0.1616 0.5686 1
S9 0.2674 0.8361 0.9291 1
S10 0.3361 0.7674 0.4291 1
S11 0.3384 0.2674 0.9314 1
S12 0.3873 0.5921 0.9820 1
S13 0.3899 0.9079 0.2952 1
S14 0.4052 0.3873 0.2952 1
S15 0.4070 0.3384 0.5709 1
S16 0.4079 0.8899 0.7952 1
S17 0.5921 0.1101 0.2048 1
S18 0.5930 0.6616 0.4291 1
S19 0.5948 0.6127 0.7048 1
S20 0.6101 0.0921 0.7048 1
S21 0.6127 0.4079 0.0180 1
S22 0.6616 0.7326 0.0686 1
S23 0.6639 0.2326 0.5709 1
S24 0.7326 0.1639 0.0709 1
S25 0.7674 0.8384 0.4314 1
S26 0.8361 0.4070 0.5686 1
S27 0.8384 0.9070 0.0709 1
S28 0.8873 0.9052 0.7952 1
S29 0.8899 0.5948 0.4820 1
S30 0.9052 0.6101 0.0180 1
S31 0.9070 0.3361 0.0686 1
S32 0.9079 0.1127 0.5180 1
```

Summary:
- Symmetry: I4_1/acd (142)
- V: 144 Å³/f.u.
- Energy: -16.671 eV per atom


# 7
Below is a crystal of Ti6P2O relaxed with PBEsol, with properties calculated at the SCAN level.

CIF file:
```
data_Ti6P2O
_cell_length_a 5.1271
_cell_length_b 5.1271
_cell_length_c 7.6575
_cell_angle_alpha 91.34
_cell_angle_beta 91.34
_cell_angle_gamma 37.01
_symmetry_space_group_name_H-M 'P 1'
_symmetry_Int_Tables_number 1
_symmetry_space_group_name_Hall 'P 1'
loop_
_atom_site_label
_atom_site_fract_x
_atom_site_fract_y
_atom_site_fract_z
_atom_site_occupancy
Ti1 0.0551 0.0551 0.2407 1
Ti2 0.3609 0.3609 0.0556 1
Ti3 0.3634 0.3634 0.4534 1
Ti4 0.6366 0.6366 0.5466 1
Ti5 0.6391 0.6391 0.9444 1
Ti6 0.9449 0.9449 0.7593 1
P1 0.2486 0.2486 0.7519 1
P2 0.7514 0.7514 0.2481 1
O1 0.0000 0.0000 0.5000 1
```

Summary:
- Symmetry: C2/m (12)
- V: 121 Å³/f.u.
- Energy: -15.113 eV per atom


# 8
Below is a crystal of Co2HgBr relaxed with PBEsol, with properties calculated at the SCAN level.

CIF file:
```
data_Co2HgBr
_cell_length_a 3.3867
_cell_length_b 3.3867
_cell_length_c 6.3055
_cell_angle_alpha 90.00
_cell_angle_beta 90.00
_cell_angle_gamma 90.00
_symmetry_space_group_name_H-M 'P 1'
_symmetry_Int_Tables_number 1
_symmetry_space_group_name_Hall 'P 1'
loop_
_atom_site_label
_atom_site_fract_x
_atom_site_fract_y
_atom_site_fract_z
_atom_site_occupancy
Co1 0.0000 0.5000 0.0000 1
Co2 0.5000 0.0000 0.0000 1
Hg1 0.0000 0.0000 0.3303 1
Br1 0.5000 0.5000 0.7141 1
```

Summary:
- Symmetry: P4mm (99)
- V: 72 Å³/f.u.
- Energy above the lowest structure with this stoichiometry: 0 meV/atom
- Energy: -30.246 eV per atom


What did the third record say?
Below is a crystal of MgTcSb2I relaxed with PBEsol, with properties calculated at the SCAN level.

CIF file:
```
data_MgTcSb2I
_cell_length_a 5.0138
_cell_length_b 5.0138
_cell_length_c 5.8189
_cell_angle_alpha 90.00
_cell_angle_beta 90.00
_cell_angle_gamma 90.00
_symmetry_space_group_name_H-M 'P 1'
_symmetry_Int_Tables_number 1
_symmetry_space_group_name_Hall 'P 1'
loop_
_atom_site_label
_atom_site_fract_x
_atom_site_fract_y
_atom_site_fract_z
_atom_site_occupancy
Mg1 0.0000 0.0000 0.0000 1
Tc1 0.5000 0.5000 0.5000 1
Sb1 0.0000 0.5000 0.5000 1
Sb2 0.5000 0.0000 0.5000 1
I1 0.5000 0.5000 0.0000 1
```

Summary:
- Symmetry: P4/mmm (123)
- V: 146 Å³/f.u.
- Energy: -29.831 eV per atom


- Among the records above, which one has the lowest V?
  Be2AlRe


Please write out number 5 again, unchanged.
Below is a crystal of SnP2O7 relaxed with PBEsol, with properties calculated at the SCAN level.

CIF file:
```
data_SnP2O7
_cell_length_a 8.2920
_cell_length_b 8.2920
_cell_length_c 8.2920
_cell_angle_alpha 90.00
_cell_angle_beta 90.00
_cell_angle_gamma 90.00
_symmetry_space_group_name_H-M 'P 1'
_symmetry_Int_Tables_number 1
_symmetry_space_group_name_Hall 'P 1'
loop_
_atom_site_label
_atom_site_fract_x
_atom_site_fract_y
_atom_site_fract_z
_atom_site_occupancy
Sn1 0.0000 0.0000 0.0000 1
Sn2 0.0000 0.5000 0.5000 1
Sn3 0.5000 0.0000 0.5000 1
Sn4 0.5000 0.5000 0.0000 1
P1 0.1103 0.6103 0.8897 1
P2 0.1103 0.8897 0.3897 1
P3 0.3897 0.1103 0.8897 1
P4 0.3897 0.3897 0.3897 1
P5 0.6103 0.6103 0.6103 1
P6 0.6103 0.8897 0.1103 1
P7 0.8897 0.1103 0.6103 1
P8 0.8897 0.3897 0.1103 1
O1 0.0000 0.0000 0.5000 1
O2 0.0000 0.5000 0.0000 1
O3 0.0522 0.7177 0.4058 1
O4 0.0522 0.7823 0.9058 1
O5 0.0942 0.5522 0.7177 1
O6 0.0942 0.9478 0.2177 1
O7 0.2177 0.0942 0.9478 1
O8 0.2177 0.4058 0.4478 1
O9 0.2823 0.5942 0.9478 1
O10 0.2823 0.9058 0.4478 1
O11 0.4058 0.0522 0.7177 1
O12 0.4058 0.4478 0.2177 1
O13 0.4478 0.2177 0.4058 1
O14 0.4478 0.2823 0.9058 1
O15 0.5000 0.0000 0.0000 1
O16 0.5000 0.5000 0.5000 1
O17 0.5522 0.7177 0.0942 1
O18 0.5522 0.7823 0.5942 1
O19 0.5942 0.5522 0.7823 1
O20 0.5942 0.9478 0.2823 1
O21 0.7177 0.0942 0.5522 1
O22 0.7177 0.4058 0.0522 1
O23 0.7823 0.5942 0.5522 1
O24 0.7823 0.9058 0.0522 1
O25 0.9058 0.0522 0.7823 1
O26 0.9058 0.4478 0.2823 1
O27 0.9478 0.2177 0.0942 1
O28 0.9478 0.2823 0.5942 1
```

Summary:
- Symmetry: Pa-3 (205)
- V: 143 Å³/f.u.
- Energy above the lowest structure with this stoichiometry: 46 meV/atom
- Energy: -12.261 eV per atom


- Among the records above, which one has the highest energy?
  SnP2O7